# LaNiBr3 | Alexandria | meta-GGA SCAN | PBEsol geometry
# Total magnetization in μB/atom: 0.05
# Calculated total energy in eV per atom: -24.196
# V in Å³ per atom: 38.34
# Formation energy (no corrections) in kJ/mol of atoms: -64.15
data_LaNiBr3
_chemical_formula_sum 'La1 Ni1 Br3'
_cell_length_a 5.766
_cell_length_b 5.766
_cell_length_c 5.766
_cell_angle_alpha 90.00
_cell_angle_beta 90.00
_cell_angle_gamma 90.00
_symmetry_space_group_name_H-M 'P 1'
_symmetry_Int_Tables_number 1
loop_
_symmetry_equiv_pos_as_xyz
'x,y,z'
loop_
_atom_site_label
_atom_site_type_symbol
_atom_site_fract_x
_atom_site_fract_y
_atom_site_fract_z
La1 La 0.000 0.000 0.000
Ni1 Ni 0.500 0.500 0.500
Br1 Br 0.000 0.000 0.500
Br2 Br 0.000 0.500 0.000
Br3 Br 0.500 0.000 0.000